The following is a DFT calculation (PBE-GGA) of crystalline CeMg2In at its relaxed geometry.

Lattice parameters (Å, degrees): 5.2252 5.2252 7.3811 90.00 90.00 90.00
Space group I-4m2 (No. 119)
Unique sites:
Ce (0.0000, 0.0000, 0.0000) [2 per cell]
Mg (0.0000, 0.0000, 0.5000) [2 per cell]
Mg (0.0000, 0.5000, 0.2500) [2 per cell]
In (0.0000, 0.5000, 0.7500) [2 per cell]

Properties
spin magnetization = 2.01 μB per cell
crystal system = tetragonal
energy above the most stable polymorph in this dataset = 0.0 kJ per mole of atoms
energy of formation from the pure elements = -0.1794 eV per atom
density = 5.00 Mg/m³